Compound: HfNiHg2I
Source: Alexandria
Functional: PBE
Structure: optimized geometry

Results
E_form (uncorrected) = 6.44 eV per formula unit

a b c (Å): 5.8868 5.8868 4.4462
angles (deg): 90.00 90.00 90.00
Space group P4/mmm (No. 123)
One atom of each set of equivalent atoms:
Hf: 0.0000 0.0000 0.0000
Ni: 0.5000 0.5000 0.0000
Hg: 0.0000 0.5000 0.5000
I: 0.5000 0.5000 0.5000